A plane-wave DFT calculation with PBE-GGA was carried out for an optimized crystal structure of VFe2GeH.

Results
D(E_F) = 4.03 states/eV per cell
final energy = -6.92 eV/atom

Lattice parameters (Å, degrees): 3.653 3.653 3.894 90.00 90.00 90.00
Positions (direct):
1 Fe 0.000 0.500 0.000
2 Fe 0.500 0.000 0.000
3 H 0.000 0.000 0.000
4 V 0.000 0.000 0.500
5 Ge 0.500 0.500 0.500